This record from Alexandria describes an optimized crystal structure of Ac3Al4Pd2. The functional is PBE-GGA.

Calculated values
ΔE_f (eV per formula unit): -5.28
Total magnetization (μB/f.u.): 0.000
Relative energy among the computed polymorphs (kJ/mol of formula units): 0.0

abc: 4.447 6.200 9.516
angles: 107.30 90.00 111.02
Fractional positions:
Ac1 0.403 0.805 0.307
Al1 0.843 0.685 0.565
Pd1 0.673 0.346 0.307
Ac2 0.000 0.000 0.000
Al2 0.271 0.542 0.933
Al3 0.729 0.458 0.067
Ac3 0.597 0.195 0.693
Al4 0.157 0.315 0.435
Pd2 0.327 0.654 0.693